HfTiGa3: optimized geometry, PBE.

```
HfTiGa3
1.0
5.0439 0.0000 0.0000
0.0000 5.0439 0.0000
0.0000 0.0000 5.0439
Hf Ti Ga
1 1 3
Cartesian
0.0000 0.0000 0.0000
2.5219 2.5219 2.5219
0.0000 0.0000 2.5219
0.0000 2.5219 0.0000
2.5219 0.0000 0.0000
```

- Energy above the lowest structure with this stoichiometry: 1072.4 meV/atom
- Formation energy from the elements: 801 meV/atom
- M_tot: 1.44 μB per cell
- Space-group type: Pm-3m (221)